No. 1
The following is a DFT calculation (PBE) of an optimized crystal structure of Ca2HoTl.

## Properties
Final energy = -11.30 eV per cell
Formation energy from the elements = -0.087 eV/atom

Lattice parameters (Å, degrees): 4.181 4.181 7.332 90.00 90.00 90.00
Space group P4/mmm (No. 123)
Asymmetric unit:
Ca (0.000, 0.000, 0.235) x2
Ho (0.500, 0.500, 0.500) x1
Tl (0.500, 0.500, 0.000) x1

=====

No. 2
The following is a DFT calculation (PBE) of an optimized crystal structure of CaHo4Tl5.

## Properties
Final energy = -35.64 eV per cell
Formation energy from the elements = -0.350 eV/atom

Lattice parameters (Å, degrees): 3.768 3.768 19.330 90.00 90.00 90.00
Space group P4/mmm (No. 123)
Asymmetric unit:
Ca (0.000, 0.000, 0.000) x1
Ho (0.000, 0.000, 0.202) x2
Ho (0.000, 0.000, 0.401) x2
Tl (0.500, 0.500, 0.105) x2
Tl (0.500, 0.500, 0.303) x2
Tl (0.500, 0.500, 0.500) x1

=====

What is the formula in the first record?
Ca2HoTl